Version w
Computed, not measured: a relaxed structure of K2TaFe at the PBE level of DFT.

The calculation puts the density of states at the Fermi level at 4.56 states/eV/f.u. The magnetic moment is 1.919 μB per formula unit.

It has space group R-3m (No. 166, hexagonal axes), with a = 2.9738 Å, b = 2.9738 Å, c = 37.1092 Å, α = 90.00°, β = 90.00° and γ = 120.00°. Symmetry generates all atoms from K at (0.0000, 0.0000, 0.2460), Ta at (0.0000, 0.0000, 0.0000) and Fe at (0.0000, 0.0000, 0.5000).

=====

Version x
Computed, not measured: a relaxed structure of K2TaFe at the PBE level of DFT.

The calculation puts the density of states at the Fermi level at 4.38 states/eV/f.u. The magnetic moment is 1.573 μB per formula unit.

It has space group C2/m (No. 12), with a = 5.7713 Å, b = 12.5414 Å, c = 2.8823 Å, α = 90.00°, β = 116.66° and γ = 90.00°. Symmetry generates all atoms from K at (0.2500, 0.2500, 0.0000), Ta at (0.0000, 0.0000, 0.5000) and Fe at (0.0000, 0.5000, 0.5000).

=====

Version y
Computed, not measured: a relaxed structure of K2TaFe at the PBE level of DFT.

The calculation puts the density of states at the Fermi level at 5.54 states/eV/f.u. The magnetic moment is 1.014 μB per formula unit.

It has space group Cmmm (No. 65), with a = 5.5503 Å, b = 12.2261 Å, c = 2.8936 Å, α = 90.00°, β = 90.00° and γ = 90.00°. Symmetry generates all atoms from K at (0.2500, 0.2500, 0.0000), Ta at (0.0000, 0.0000, 0.5000) and Fe at (0.0000, 0.5000, 0.5000).

=====

Version z
Computed, not measured: a relaxed structure of K2TaFe at the PBE level of DFT.

The calculation puts the density of states at the Fermi level at 5.13 states/eV/f.u. The magnetic moment is 0.286 μB per formula unit.

It has space group I4/mmm (No. 139), with a = 3.9061 Å, b = 3.9061 Å, c = 12.2746 Å, α = 90.00°, β = 90.00° and γ = 90.00°. Symmetry generates all atoms from K at (0.0000, 0.5000, 0.2500), Ta at (0.0000, 0.0000, 0.0000) and Fe at (0.0000, 0.0000, 0.5000).

=====

Most stable = version w

=====

Version w
Computed, not measured: a relaxed structure of KTa2Fe at the PBE level of DFT.

The calculation puts the density of states at the Fermi level at 4.11 states/eV/f.u. The magnetic moment is 1.264 μB per formula unit.

It has space group C2/m (No. 12), with a = 11.1162 Å, b = 2.8524 Å, c = 5.7038 Å, α = 90.00°, β = 108.18° and γ = 90.00°. Symmetry generates all atoms from K at (0.0000, 0.0000, 0.0000), Ta at (0.1972, 0.0000, 0.6602) and Fe at (0.0000, 0.5000, 0.5000).

=====

Version x
Computed, not measured: a relaxed structure of KTa2Fe at the PBE level of DFT.

The calculation puts the density of states at the Fermi level at 2.84 states/eV/f.u. The magnetic moment is 0.898 μB per formula unit.

It has space group P4mm (No. 99), with a = 3.0849 Å, b = 3.0849 Å, c = 9.1906 Å, α = 90.00°, β = 90.00° and γ = 90.00°. Symmetry generates all atoms from K at (0.0000, 0.0000, 0.0000), Ta at (0.0000, 0.0000, 0.5759), Ta at (0.5000, 0.5000, 0.3642) and Fe at (0.5000, 0.5000, 0.7071).

=====

Version y
Computed, not measured: a relaxed structure of KTa2Fe at the PBE level of DFT.

The calculation puts the density of states at the Fermi level at 6.25 states/eV/f.u. The magnetic moment is 2.282 μB per formula unit.

It has space group Pmmm (No. 47), with a = 2.8385 Å, b = 5.0926 Å, c = 5.5885 Å, α = 90.00°, β = 90.00° and γ = 90.00°. Symmetry generates all atoms from K at (0.0000, 0.0000, 0.0000), Ta at (0.0000, 0.5000, 0.5000), Ta at (0.5000, 0.0000, 0.5000) and Fe at (0.5000, 0.5000, 0.0000).

=====

Most stable = version x